## ZrZn (PBE-GGA)

Data for a geometry-optimized ZrZn structure.

Cell lengths 5.495, 5.495, 5.495 Å; angles 90.00, 90.00, 90.00 degrees
Sites, in units of the cell vectors:
Zr1 0.000 0.000 0.000
Zr2 0.000 0.500 0.500
Zr3 0.500 0.000 0.500
Zr4 0.500 0.500 0.000
Zn1 0.000 0.000 0.500
Zn2 0.000 0.500 0.000
Zn3 0.500 0.000 0.000
Zn4 0.500 0.500 0.500

Summary:
* E: -4.76 eV per atom
* density of states at the Fermi level: 2.2 states/eV/f.u.


## PrTmTe2Se (PBE-GGA)

Data for a geometry-optimized PrTmTe2Se structure.

Cell lengths 4.369, 4.369, 15.631 Å; angles 90.00, 90.00, 90.00 degrees
Sites, in units of the cell vectors:
Pr1 0.250 0.250 0.133
Pr2 0.750 0.750 0.867
Tm1 0.250 0.250 0.590
Tm2 0.750 0.750 0.410
Te1 0.250 0.250 0.394
Te2 0.250 0.250 0.785
Te3 0.750 0.750 0.215
Te4 0.750 0.750 0.606
Se1 0.250 0.750 0.000
Se2 0.750 0.250 0.000

Summary:
* raw formation energy: -1.384 eV/atom
* density of states at the Fermi level: 1.9 states/eV/f.u.


## Na3Ga9Pt2 (PBE-GGA)

Data for a geometry-optimized Na3Ga9Pt2 structure.

Cell lengths 8.310, 8.310, 8.310 Å; angles 149.94, 106.94, 80.98 degrees
Sites, in units of the cell vectors:
Na1 0.000 0.000 0.000
Na2 0.322 0.322 0.000
Na3 0.678 0.678 0.000
Ga1 0.041 0.678 0.363
Ga2 0.160 0.879 0.281
Ga3 0.315 0.678 0.637
Ga4 0.402 0.121 0.281
Ga5 0.500 0.000 0.500
Ga6 0.598 0.879 0.719
Ga7 0.685 0.322 0.363
Ga8 0.840 0.121 0.719
Ga9 0.959 0.322 0.637
Pt1 0.263 0.500 0.763
Pt2 0.737 0.500 0.237

Summary:
* E: -3.40 eV per atom
* density of states at the Fermi level: 5.6 states/eV/f.u.


## HoB4Rh8 (PBE-GGA)

Data for a geometry-optimized HoB4Rh8 structure.

Cell lengths 8.220, 8.220, 8.220 Å; angles 39.34, 39.34, 39.34 degrees
Sites, in units of the cell vectors:
Ho1 0.000 0.000 0.000
B1 0.000 0.000 0.500
B2 0.000 0.500 0.000
B3 0.500 0.000 0.000
B4 0.500 0.500 0.500
Rh1 0.231 0.729 0.729
Rh2 0.232 0.232 0.232
Rh3 0.271 0.271 0.769
Rh4 0.271 0.769 0.271
Rh5 0.729 0.231 0.729
Rh6 0.729 0.729 0.231
Rh7 0.768 0.768 0.768
Rh8 0.769 0.271 0.271

Summary:
* E: -7.05 eV per atom
* density of states at the Fermi level: 8.5 states/eV/f.u.


## K2Sn2S3 (PBE-GGA)

Data for a geometry-optimized K2Sn2S3 structure.

Cell lengths 15.073, 3.942, 7.329 Å; angles 90.00, 101.81, 90.00 degrees
Sites, in units of the cell vectors:
K1 0.124 0.000 0.325
K2 0.376 0.500 0.675
K3 0.624 0.500 0.325
K4 0.876 0.000 0.675
Sn1 0.116 0.500 0.822
Sn2 0.384 0.000 0.178
Sn3 0.616 0.000 0.822
Sn4 0.884 0.500 0.178
S1 0.000 0.500 0.500
S2 0.217 0.000 0.753
S3 0.283 0.500 0.247
S4 0.500 0.000 0.500
S5 0.717 0.500 0.753
S6 0.783 0.000 0.247

Summary:
* raw formation energy: -0.775 eV/atom


## CdIrBr2 (PBE-GGA)

Data for a geometry-optimized CdIrBr2 structure.

Cell lengths 4.243, 3.510, 7.629 Å; angles 90.00, 105.93, 90.00 degrees
Sites, in units of the cell vectors:
Cd1 0.000 0.000 0.000
Ir1 0.461 0.500 0.920
Br1 0.340 0.000 0.675
Br2 0.626 0.500 0.258

Summary:
* raw formation energy: 0.038 eV/atom
* density of states at the Fermi level: 2.7 states/eV/f.u.


## AcTb5Hg6 (PBE-GGA)

Data for a geometry-optimized AcTb5Hg6 structure.

Cell lengths 5.320, 7.616, 8.516 Å; angles 90.00, 108.31, 90.00 degrees
Sites, in units of the cell vectors:
Ac1 0.000 0.000 0.000
Tb1 0.000 0.500 0.000
Tb2 0.330 0.000 0.659
Tb3 0.338 0.500 0.674
Tb4 0.662 0.500 0.326
Tb5 0.670 0.000 0.341
Hg1 0.173 0.263 0.349
Hg2 0.173 0.737 0.349
Hg3 0.500 0.266 0.000
Hg4 0.500 0.734 0.000
Hg5 0.827 0.263 0.651
Hg6 0.827 0.737 0.651

Summary:
* E: -2.88 eV per atom
* density of states at the Fermi level: 13.4 states/eV/f.u.


## Si2HgI (PBE-GGA)

Data for a geometry-optimized Si2HgI structure.

Cell lengths 3.982, 7.883, 10.919 Å; angles 90.48, 90.19, 104.31 degrees
Sites, in units of the cell vectors:
Si1 0.000 0.000 0.000
Si2 0.100 0.217 0.842
Si3 0.433 0.864 0.925
Si4 0.533 0.081 0.767
Hg1 0.266 0.540 0.884
Hg2 0.763 0.541 0.384
I1 0.039 0.082 0.220
I2 0.494 0.999 0.547

Summary:
* raw formation energy: 0.063 eV/atom


## LaTeMo3 (PBE-GGA)

Data for a geometry-optimized LaTeMo3 structure.

Cell lengths 4.885, 4.885, 4.885 Å; angles 90.00, 90.00, 90.00 degrees
Sites, in units of the cell vectors:
La1 0.000 0.000 0.000
Te1 0.500 0.500 0.500
Mo1 0.000 0.000 0.500
Mo2 0.000 0.500 0.000
Mo3 0.500 0.000 0.000

Summary:
* raw formation energy: 2.198 eV/atom
* density of states at the Fermi level: 11.4 states/eV/f.u.


## AgSnCl2 (PBE-GGA)

Data for a geometry-optimized AgSnCl2 structure.

Cell lengths 7.665, 7.665, 6.826 Å; angles 90.00, 90.00, 90.00 degrees
Sites, in units of the cell vectors:
Ag1 0.000 0.000 0.000
Ag2 0.000 0.500 0.250
Ag3 0.500 0.000 0.750
Ag4 0.500 0.500 0.500
Sn1 0.000 0.000 0.500
Sn2 0.000 0.500 0.750
Sn3 0.500 0.000 0.250
Sn4 0.500 0.500 0.000
Cl1 0.228 0.750 0.125
Cl2 0.250 0.228 0.875
Cl3 0.250 0.272 0.375
Cl4 0.272 0.750 0.625
Cl5 0.728 0.250 0.625
Cl6 0.750 0.728 0.375
Cl7 0.750 0.772 0.875
Cl8 0.772 0.250 0.125

Summary:
* raw formation energy: -0.289 eV/atom
* density of states at the Fermi level: 2.6 states/eV/f.u.


## LaMgCl2 (PBE-GGA)

Data for a geometry-optimized LaMgCl2 structure.

Cell lengths 3.548, 3.548, 9.866 Å; angles 90.00, 90.00, 90.00 degrees
Sites, in units of the cell vectors:
La1 0.000 0.000 0.000
Mg1 0.000 0.000 0.500
Cl1 0.500 0.500 0.166
Cl2 0.500 0.500 0.834

Summary:
* raw formation energy: -1.330 eV/atom
* density of states at the Fermi level: 1.2 states/eV/f.u.


## Ac4Te5Br2 (PBE-GGA)

Data for a geometry-optimized Ac4Te5Br2 structure.

Cell lengths 10.454, 10.454, 9.478 Å; angles 105.70, 105.70, 27.42 degrees
Sites, in units of the cell vectors:
Ac1 0.003 0.003 0.271
Ac2 0.280 0.280 0.770
Ac3 0.720 0.720 0.230
Ac4 0.997 0.997 0.729
Te1 0.158 0.158 0.955
Te2 0.171 0.171 0.425
Te3 0.500 0.500 0.500
Te4 0.829 0.829 0.575
Te5 0.842 0.842 0.045
Br1 0.441 0.441 0.848
Br2 0.559 0.559 0.152

Summary:
* raw formation energy: -1.523 eV/atom


## Tb2Ho3Tm8 (PBE-GGA)

Data for a geometry-optimized Tb2Ho3Tm8 structure.

Cell lengths 8.574, 8.574, 6.723 Å; angles 105.72, 105.72, 63.52 degrees
Sites, in units of the cell vectors:
Tb1 0.214 0.214 0.422
Tb2 0.786 0.786 0.578
Ho1 0.000 0.000 0.000
Ho2 0.173 0.827 0.500
Ho3 0.827 0.173 0.500
Tm1 0.191 0.191 0.894
Tm2 0.202 0.565 0.823
Tm3 0.417 0.417 0.273
Tm4 0.435 0.798 0.177
Tm5 0.565 0.202 0.823
Tm6 0.583 0.583 0.727
Tm7 0.798 0.435 0.177
Tm8 0.809 0.809 0.106

Summary:
* E: -4.29 eV per atom
* density of states at the Fermi level: 16.1 states/eV/f.u.


## Pm2PaTe5 (PBE-GGA)

Data for a geometry-optimized Pm2PaTe5 structure.

Cell lengths 7.894, 7.894, 14.795 Å; angles 90.00, 90.00, 133.78 degrees
Sites, in units of the cell vectors:
Pm1 0.154 0.846 0.556
Pm2 0.154 0.846 0.944
Pm3 0.846 0.154 0.056
Pm4 0.846 0.154 0.444
Pa1 0.207 0.793 0.250
Pa2 0.793 0.207 0.750
Te1 0.047 0.953 0.124
Te2 0.047 0.953 0.376
Te3 0.263 0.737 0.750
Te4 0.329 0.671 0.076
Te5 0.329 0.671 0.424
Te6 0.671 0.329 0.576
Te7 0.671 0.329 0.924
Te8 0.737 0.263 0.250
Te9 0.953 0.047 0.624
Te10 0.953 0.047 0.876

Summary:
* raw formation energy: -1.117 eV/atom
* density of states at the Fermi level: 6.1 states/eV/f.u.


## PaGaH8Os2 (PBE-GGA)

Data for a geometry-optimized PaGaH8Os2 structure.

Cell lengths 4.557, 4.557, 6.199 Å; angles 108.49, 108.49, 55.58 degrees
Sites, in units of the cell vectors:
Pa1 0.000 0.000 0.000
Ga1 0.500 0.500 0.500
H1 0.083 0.550 0.167
H2 0.193 0.193 0.363
H3 0.423 0.423 0.833
H4 0.450 0.917 0.833
H5 0.550 0.083 0.167
H6 0.577 0.577 0.167
H7 0.807 0.807 0.637
H8 0.917 0.450 0.833
Os1 0.202 0.202 0.639
Os2 0.798 0.798 0.361

Summary:
* E: -5.19 eV per atom
* density of states at the Fermi level: 4.9 states/eV/f.u.


## HgRhIN2 (PBE-GGA)

Data for a geometry-optimized HgRhIN2 structure.

Cell lengths 4.103, 4.103, 7.243 Å; angles 90.00, 90.00, 90.00 degrees
Sites, in units of the cell vectors:
Hg1 0.000 0.000 0.000
Rh1 0.500 0.500 0.500
I1 0.000 0.000 0.500
N1 0.000 0.500 0.000
N2 0.500 0.000 0.000

Summary:
* raw formation energy: 2.221 eV/atom
* density of states at the Fermi level: 8.7 states/eV/f.u.


## SiAsP2 (PBE-GGA)

Data for a geometry-optimized SiAsP2 structure.

Cell lengths 3.137, 4.388, 9.506 Å; angles 90.00, 90.00, 90.00 degrees
Sites, in units of the cell vectors:
Si1 0.000 0.000 0.000
Si2 0.500 0.500 0.500
As1 0.000 0.500 0.808
As2 0.500 0.000 0.308
P1 0.000 0.000 0.593
P2 0.000 0.500 0.278
P3 0.500 0.000 0.778
P4 0.500 0.500 0.093

Summary:
* raw formation energy: 0.549 eV/atom
* density of states at the Fermi level: 1.8 states/eV/f.u.


## Tm5MgIn2 (PBE-GGA)

Data for a geometry-optimized Tm5MgIn2 structure.

Cell lengths 6.020, 6.020, 16.805 Å; angles 90.00, 90.00, 134.31 degrees
Sites, in units of the cell vectors:
Tm1 0.030 0.970 0.750
Tm2 0.152 0.848 0.538
Tm3 0.152 0.848 0.962
Tm4 0.457 0.543 0.598
Tm5 0.457 0.543 0.902
Tm6 0.543 0.457 0.098
Tm7 0.543 0.457 0.402
Tm8 0.848 0.152 0.038
Tm9 0.848 0.152 0.462
Tm10 0.970 0.030 0.250
Mg1 0.312 0.688 0.750
Mg2 0.688 0.312 0.250
In1 0.258 0.742 0.151
In2 0.258 0.742 0.349
In3 0.742 0.258 0.651
In4 0.742 0.258 0.849

Summary:
* E: -3.84 eV per atom
* density of states at the Fermi level: 8.6 states/eV/f.u.


## RbTlCuO3 (PBE-GGA)

Data for a geometry-optimized RbTlCuO3 structure.

Cell lengths 6.437, 6.437, 9.566 Å; angles 90.00, 90.00, 147.59 degrees
Sites, in units of the cell vectors:
Rb1 0.212 0.788 0.750
Rb2 0.788 0.212 0.250
Tl1 0.500 0.500 0.000
Tl2 0.500 0.500 0.500
Cu1 0.066 0.934 0.250
Cu2 0.934 0.066 0.750
O1 0.111 0.889 0.059
O2 0.111 0.889 0.441
O3 0.491 0.509 0.250
O4 0.509 0.491 0.750
O5 0.889 0.111 0.559
O6 0.889 0.111 0.941

Summary:
* raw formation energy: -0.769 eV/atom
* density of states at the Fermi level: 0.5 states/eV/f.u.


## IrC2 (PBE-GGA)

Data for a geometry-optimized IrC2 structure.

Cell lengths 6.494, 3.242, 3.706 Å; angles 90.00, 108.08, 90.00 degrees
Sites, in units of the cell vectors:
Ir1 0.000 0.000 0.000
Ir2 0.500 0.500 0.000
C1 0.118 0.000 0.552
C2 0.306 0.000 0.856
C3 0.618 0.500 0.552
C4 0.806 0.500 0.856

Summary:
* E: -8.07 eV per atom
* density of states at the Fermi level: 1.4 states/eV/f.u.


## BaMnCr (PBE-GGA)

Data for a geometry-optimized BaMnCr structure.

Cell lengths 7.662, 7.662, 7.662 Å; angles 90.00, 90.00, 90.00 degrees
Sites, in units of the cell vectors:
Ba1 0.000 0.000 0.000
Ba2 0.000 0.500 0.500
Ba3 0.500 0.000 0.500
Ba4 0.500 0.500 0.000
Mn1 0.250 0.250 0.750
Mn2 0.250 0.750 0.250
Mn3 0.750 0.250 0.250
Mn4 0.750 0.750 0.750
Cr1 0.250 0.250 0.250
Cr2 0.250 0.750 0.750
Cr3 0.750 0.250 0.750
Cr4 0.750 0.750 0.250

Summary:
* E: -5.30 eV per atom
* density of states at the Fermi level: 3.2 states/eV/f.u.


## CsRb2BrCl6 (PBE-GGA)

Data for a geometry-optimized CsRb2BrCl6 structure.

Cell lengths 8.899, 8.899, 8.899 Å; angles 127.73, 127.73, 77.06 degrees
Sites, in units of the cell vectors:
Cs1 0.000 0.000 0.000
Rb1 0.250 0.750 0.500
Rb2 0.750 0.250 0.500
Br1 0.500 0.500 0.000
Cl1 0.237 0.237 0.000
Cl2 0.286 0.286 0.572
Cl3 0.286 0.714 0.000
Cl4 0.714 0.286 0.000
Cl5 0.714 0.714 0.428
Cl6 0.763 0.763 0.000

Summary:
* raw formation energy: -1.030 eV/atom
* density of states at the Fermi level: 0.0 states/eV/f.u.


## K2LaIr (PBE-GGA)

Data for a geometry-optimized K2LaIr structure.

Cell lengths 4.364, 4.364, 6.341 Å; angles 90.00, 90.00, 90.00 degrees
Sites, in units of the cell vectors:
K1 0.000 0.500 0.000
K2 0.500 0.000 0.000
La1 0.000 0.000 0.500
Ir1 0.500 0.500 0.500

Summary:
* E: -3.68 eV per atom
* density of states at the Fermi level: 2.4 states/eV/f.u.